Entry 1:
Hf2GaGe2 | PBE | optimized geometry

Computed properties:
final energy: -6.762 eV per atom
ΔH_f (0 K): -328 meV per atom
offset from the most stable computed form: 0.0020 eV/atom

abc: 7.0520 7.0520 3.7477
angles: 90.00 90.00 90.00
With the nearest neighbours (Å) after each atom.
Element x y z (fractional)
Hf 0.8379 0.3379 0.5000  6 Ge 2.73-2.84
Hf 0.3379 0.1621 0.5000  6 Ge 2.73-2.84
Hf 0.1621 0.6621 0.5000  6 Ge 2.73-2.84
Hf 0.6621 0.8379 0.5000  6 Ge 2.73-2.84
Ge 0.3605 0.8605 0.0000  6 Hf 2.73-2.84, 2 Ga 2.73, 1 Ge 2.78
Ge 0.8605 0.6395 0.0000  6 Hf 2.73-2.84, 2 Ga 2.73, 1 Ge 2.78
Ge 0.1395 0.3605 0.0000  6 Hf 2.73-2.84, 2 Ga 2.73, 1 Ge 2.78
Ge 0.6395 0.1395 0.0000  6 Hf 2.73-2.84, 2 Ga 2.73, 1 Ge 2.78
Ga 0.0000 0.0000 0.0000  4 Ge 2.73
Ga 0.5000 0.5000 0.0000  4 Ge 2.73


Entry 2:
Hf8Ga3Ge2 | PBE | optimized geometry

Computed properties:
final energy: -7.723 eV per atom
ΔH_f (0 K): -189 meV per atom

abc: 5.4885 7.9450 7.4217
angles: 122.36 89.13 90.00
With the nearest neighbours (Å) after each atom.
Element x y z (fractional)
Ge 0.4019 0.2179 0.4359  7 Hf 2.68-2.86, 1 Ga 2.78
Ge 0.5981 0.7821 0.5641  7 Hf 2.68-2.86, 1 Ga 2.78
Hf 0.8935 0.1704 0.3409  3 Ga 2.74-3.07, 2 Ge 2.75-2.86
Hf 0.6337 0.5621 0.7426  2 Ge 2.71-2.78, 2 Ga 2.73-3.02, 1 Hf 3.03
Hf 0.3663 0.4379 0.2574  2 Ge 2.71-2.78, 2 Ga 2.73-3.02, 1 Hf 3.03
Hf 0.6337 0.1805 0.7426  2 Ge 2.71-2.78, 2 Ga 2.73-3.02, 1 Hf 3.03
Hf 0.8736 0.6038 0.2075  1 Ge 2.68, 2 Ga 2.77, 1 Hf 2.93
Hf 0.3663 0.8195 0.2574  2 Ge 2.71-2.78, 2 Ga 2.73-3.02, 1 Hf 3.03
Hf 0.1065 0.8296 0.6591  3 Ga 2.74-3.07, 2 Ge 2.75-2.86
Hf 0.1264 0.3962 0.7925  1 Ge 2.68, 2 Ga 2.77, 1 Hf 2.93
Ga 0.0000 0.7955 0.0000  6 Hf 2.73-2.77
Ga 0.0000 0.2045 0.0000  6 Hf 2.73-2.77
Ga 0.5000 0.0000 0.0000  2 Ge 2.78, 6 Hf 3.02-3.07


Entry 3:
Hf2Ga2Ge | PBE | optimized geometry

Computed properties:
final energy: -6.395 eV per atom
ΔH_f (0 K): -279 meV per atom
offset from the most stable computed form: 0.0449 eV/atom

abc: 6.8292 6.8292 3.9541
angles: 90.00 90.00 90.00
With the nearest neighbours (Å) after each atom.
Element x y z (fractional)
Ga 0.8724 0.6276 0.0000  1 Ga 2.46, 2 Ge 2.69, 2 Hf 2.74
Ga 0.3724 0.8724 0.0000  1 Ga 2.46, 2 Ge 2.69, 2 Hf 2.74
Ga 0.6276 0.1276 0.0000  1 Ga 2.46, 2 Ge 2.69, 2 Hf 2.74
Ga 0.1276 0.3724 0.0000  1 Ga 2.46, 2 Ge 2.69, 2 Hf 2.74
Hf 0.3233 0.1767 0.5000  6 Ga 2.74-2.89
Hf 0.1767 0.6767 0.5000  6 Ga 2.74-2.89
Hf 0.6767 0.8233 0.5000  6 Ga 2.74-2.89
Hf 0.8233 0.3233 0.5000  6 Ga 2.74-2.89
Ge 0.0000 0.0000 0.0000  4 Ga 2.69
Ge 0.5000 0.5000 0.0000  4 Ga 2.69


Entry 4:
HfGaGe | PBE | optimized geometry

Computed properties:
final energy: -6.339 eV per atom
ΔH_f (0 K): -473 meV per atom

abc: 3.8192 3.8282 7.6382
angles: 104.51 90.00 90.00
With the nearest neighbours (Å) after each atom.
Element x y z (fractional)
Hf 0.7500 0.9035 0.8069  4 Ge 2.74, 4 Ga 2.95-2.99
Hf 0.2500 0.0965 0.1931  4 Ge 2.74, 4 Ga 2.95-2.99
Ge 0.7500 0.5681 0.1361  4 Hf 2.74, 2 Ge 2.77
Ge 0.2500 0.4319 0.8639  4 Hf 2.74, 2 Ge 2.77
Ga 0.7500 0.2485 0.4970  4 Ga 2.70, 4 Hf 2.95-2.99
Ga 0.2500 0.7515 0.5030  4 Ga 2.70, 4 Hf 2.95-2.99